[1]
La2NdSm7 | PBE-GGA | optimized geometry

Cell lengths 15.152, 15.152, 3.507 Å; angles 90.00, 90.00, 154.19 degrees
Fractional coordinates of all 10 atoms:
La  0.204  0.796  0.000
La  0.796  0.204  0.000
Nd  0.500  0.500  0.500
Sm  0.000  0.000  0.000
Sm  0.155  0.353  0.000
Sm  0.313  0.687  0.500
Sm  0.353  0.155  0.000
Sm  0.647  0.845  0.000
Sm  0.687  0.313  0.500
Sm  0.845  0.647  0.000

Results
The density is 6985 kg/m³. As for the crystal system: orthorhombic. Its offset from the most stable computed form is 132.2 meV/atom. The calculation puts the magnetic moment at 0.00 μB/f.u.



[2]
TmZrCu10 | PBE-GGA | optimized geometry

Cell lengths 4.087, 4.960, 8.529 Å; angles 90.00, 90.00, 90.00 degrees
Fractional coordinates of all 12 atoms:
Tm  0.000  0.000  0.000
Zr  0.000  0.500  0.500
Cu  0.000  0.000  0.336
Cu  0.000  0.000  0.664
Cu  0.000  0.500  0.171
Cu  0.000  0.500  0.829
Cu  0.500  0.000  0.500
Cu  0.500  0.253  0.254
Cu  0.500  0.253  0.746
Cu  0.500  0.500  0.000
Cu  0.500  0.747  0.254
Cu  0.500  0.747  0.746

Results
The density is 8602 kg/m³. As for the crystal system: orthorhombic. Its total energy is -55.4 eV for the cell shown. The calculation puts the magnetic moment at 0.00 μB/f.u.



[3]
Al3VGa | PBE-GGA | optimized geometry

Cell lengths 5.336, 5.336, 7.373 Å; angles 102.35, 102.35, 59.55 degrees
Fractional coordinates of all 10 atoms:
Al  0.204  0.204  0.684
Al  0.208  0.707  0.682
Al  0.293  0.792  0.318
Al  0.707  0.208  0.682
Al  0.792  0.293  0.318
Al  0.796  0.796  0.316
V  0.305  0.305  0.373
V  0.695  0.695  0.627
Ga  0.153  0.153  0.039
Ga  0.847  0.847  0.961

Results
The density is 3818 kg/m³. As for the crystal system: monoclinic. Its offset from the most stable computed form is 0.0 meV/atom. The calculation puts the magnetic moment at 0.00 μB/f.u.



[4]
KNdSnS3 | PBE-GGA | optimized geometry

Cell lengths 8.090, 4.117, 12.046 Å; angles 90.00, 106.73, 90.00 degrees
Fractional coordinates of all 12 atoms:
K  0.207  0.250  0.232
K  0.793  0.750  0.768
Nd  0.359  0.750  0.856
Nd  0.641  0.250  0.144
Sn  0.172  0.250  0.573
Sn  0.828  0.750  0.427
S  0.104  0.250  0.770
S  0.385  0.750  0.623
S  0.390  0.750  0.094
S  0.610  0.250  0.906
S  0.615  0.250  0.377
S  0.896  0.750  0.230

Results
The density is 3442 kg/m³. As for the crystal system: monoclinic. The calculation puts the magnetic moment at 0.00 μB/f.u. The formation energy (no corrections) comes out at -1347 meV per atom.



[5]
LiZnCdPt | PBE-GGA | optimized geometry

Cell lengths 4.629, 4.629, 4.629 Å; angles 126.35, 126.35, 79.32 degrees
Fractional coordinates of all 4 atoms:
Li  0.000  0.000  0.000
Zn  0.500  0.500  0.000
Cd  0.750  0.250  0.500
Pt  0.250  0.750  0.500

Results
The density is 10141 kg/m³. As for the crystal system: tetragonal. Its total energy is -11.8 eV for the cell shown. The calculation puts the magnetic moment at 0.00 μB/f.u.



[6]
K2LiTa | PBE-GGA | optimized geometry

Cell lengths 7.300, 7.300, 7.300 Å; angles 157.07, 132.24, 53.61 degrees
Fractional coordinates of all 4 atoms:
K  0.212  0.212  0.000
K  0.788  0.788  0.000
Li  0.000  0.500  0.500
Ta  0.500  0.000  0.500

Results
The density is 3954 kg/m³. As for the crystal system: orthorhombic. Its offset from the most stable computed form is 235.0 meV/atom. The calculation puts the magnetic moment at 1.04 μB/f.u.



[7]
YLuTe3 | PBE-GGA | optimized geometry

Cell lengths 11.445, 11.445, 11.445 Å; angles 149.61, 149.61, 43.52 degrees
Fractional coordinates of all 10 atoms:
Y  0.000  0.000  0.000
Y  0.750  0.250  0.500
Lu  0.170  0.670  0.500
Lu  0.330  0.830  0.500
Te  0.287  0.287  0.000
Te  0.372  0.118  0.254
Te  0.713  0.713  0.000
Te  0.863  0.118  0.746
Te  0.882  0.137  0.254
Te  0.882  0.628  0.746

Results
The density is 5612 kg/m³. As for the crystal system: tetragonal. Its offset from the most stable computed form is 706.4 meV/atom. The calculation puts the magnetic moment at 0.00 μB/f.u. The formation energy (no corrections) comes out at -685 meV per atom.



[8]
VCd3Tc | PBE-GGA | optimized geometry

Cell lengths 5.163, 5.163, 5.163 Å; angles 90.00, 90.00, 90.00 degrees
Fractional coordinates of all 5 atoms:
V  0.000  0.000  0.000
Cd  0.000  0.500  0.500
Cd  0.500  0.000  0.500
Cd  0.500  0.500  0.000
Tc  0.500  0.500  0.500

Results
The density is 5866 kg/m³. As for the crystal system: cubic. Its offset from the most stable computed form is 0.0 meV/atom. The calculation puts the magnetic moment at 2.58 μB/f.u.



Question: What is the formula in the second record?
Answer: TmZrCu10



Question: Look up the magnetic moment of the first one.
Answer: 0.00 μB/f.u.